The following is a DFT calculation (PBE) of crystalline Ca2PbAu at its relaxed geometry.

## Properties
D(E_F) (states/eV per cell): 1.0

```
data_Ca2PbAu
_chemical_formula_sum 'Ca2 Pb1 Au1'
_space_group_name_H-M_alt 'P 1'
_space_group_IT_number 1
_space_group_name_Hall 'P 1'
_cell_length_a 6.665
_cell_length_b 6.665
_cell_length_c 6.665
_cell_angle_alpha 147.24
_cell_angle_beta 135.02
_cell_angle_gamma 56.75
loop_
_atom_site_label
_atom_site_fract_x
_atom_site_fract_y
_atom_site_fract_z
Pb1 0.461 0.461 0.000
Ca1 0.040 0.040 0.000
Ca2 0.751 0.251 0.500
Au1 0.248 0.748 0.500
```

The following is a DFT calculation (PBE) of crystalline Ca3Pb3Au at its relaxed geometry.

## Properties
D(E_F) (states/eV per cell): 4.7

```
data_Ca3Pb3Au
_chemical_formula_sum 'Ca6 Pb6 Au2'
_space_group_name_H-M_alt 'P 1'
_space_group_IT_number 1
_space_group_name_Hall 'P 1'
_cell_length_a 4.777
_cell_length_b 6.240
_cell_length_c 15.317
_cell_angle_alpha 84.00
_cell_angle_beta 81.03
_cell_angle_gamma 67.49
loop_
_atom_site_label
_atom_site_fract_x
_atom_site_fract_y
_atom_site_fract_z
Ca1 0.530 0.320 0.620
Ca2 0.470 0.680 0.380
Ca3 0.268 0.230 0.235
Ca4 0.732 0.770 0.765
Ca5 0.405 0.268 0.921
Ca6 0.595 0.732 0.079
Pb1 0.856 0.753 0.535
Pb2 0.144 0.247 0.465
Pb3 0.123 0.829 0.924
Pb4 0.877 0.171 0.076
Pb5 0.986 0.798 0.231
Pb6 0.014 0.202 0.769
Au1 0.755 0.117 0.373
Au2 0.245 0.883 0.627
```

The following is a DFT calculation (PBE) of crystalline CaPb2Au2 at its relaxed geometry.

## Properties
D(E_F) (states/eV per cell): 2.3

```
data_CaPb2Au2
_chemical_formula_sum 'Ca2 Pb4 Au4'
_space_group_name_H-M_alt 'P 1'
_space_group_IT_number 1
_space_group_name_Hall 'P 1'
_cell_length_a 5.100
_cell_length_b 5.144
_cell_length_c 11.454
_cell_angle_alpha 63.29
_cell_angle_beta 90.00
_cell_angle_gamma 90.00
loop_
_atom_site_label
_atom_site_fract_x
_atom_site_fract_y
_atom_site_fract_z
Ca1 0.250 0.577 0.173
Ca2 0.750 0.423 0.827
Pb1 0.250 0.916 0.834
Pb2 0.750 0.084 0.166
Pb3 0.250 0.239 0.511
Pb4 0.750 0.761 0.489
Au1 0.250 0.590 0.659
Au2 0.750 0.410 0.341
Au3 0.250 0.242 0.008
Au4 0.750 0.758 0.992
```

The following is a DFT calculation (PBE) of crystalline Ca3PbAu2 at its relaxed geometry.

## Properties
D(E_F) (states/eV per cell): 1.5

```
data_Ca3PbAu2
_chemical_formula_sum 'Ca3 Pb1 Au2'
_space_group_name_H-M_alt 'P 1'
_space_group_IT_number 1
_space_group_name_Hall 'P 1'
_cell_length_a 3.683
_cell_length_b 3.683
_cell_length_c 11.492
_cell_angle_alpha 90.00
_cell_angle_beta 90.00
_cell_angle_gamma 90.00
loop_
_atom_site_label
_atom_site_fract_x
_atom_site_fract_y
_atom_site_fract_z
Ca1 0.000 0.000 0.000
Ca2 0.000 0.000 0.689
Ca3 0.000 0.000 0.311
Pb1 0.500 0.500 0.500
Au1 0.500 0.500 0.842
Au2 0.500 0.500 0.158
```

The following is a DFT calculation (PBE) of crystalline Ca2PbAu at its relaxed geometry.

## Properties
D(E_F) (states/eV per cell): 2.8

```
data_Ca2PbAu
_chemical_formula_sum 'Ca2 Pb1 Au1'
_space_group_name_H-M_alt 'P 1'
_space_group_IT_number 1
_space_group_name_Hall 'P 1'
_cell_length_a 3.664
_cell_length_b 3.668
_cell_length_c 8.059
_cell_angle_alpha 90.00
_cell_angle_beta 90.00
_cell_angle_gamma 90.00
loop_
_atom_site_label
_atom_site_fract_x
_atom_site_fract_y
_atom_site_fract_z
Pb1 0.500 0.500 0.250
Ca1 0.000 0.000 0.974
Ca2 0.000 0.000 0.526
Au1 0.500 0.500 0.750
```

The following is a DFT calculation (PBE) of crystalline CaPb2Au at its relaxed geometry.

## Properties
D(E_F) (states/eV per cell): 1.9

```
data_CaPb2Au
_chemical_formula_sum 'Ca1 Pb2 Au1'
_space_group_name_H-M_alt 'P 1'
_space_group_IT_number 1
_space_group_name_Hall 'P 1'
_cell_length_a 4.579
_cell_length_b 3.947
_cell_length_c 6.588
_cell_angle_alpha 72.96
_cell_angle_beta 90.00
_cell_angle_gamma 90.00
loop_
_atom_site_label
_atom_site_fract_x
_atom_site_fract_y
_atom_site_fract_z
Pb1 0.000 0.046 0.027
Pb2 0.500 0.444 0.233
Ca1 0.500 0.720 0.689
Au1 0.000 0.289 0.551
```

Sequential total magnetic moment output: 0.00 0.00 0.00 0.00 0.00 0.00 μB per cell
Sequential formation energy from the elements output: -0.577 -0.534 -0.384 -0.722 -0.677 -0.352 eV per atom
Sequential total DFT energy (no corrections) output: -3.324 -3.449 -3.579 -3.433 -3.425 -3.526 eV per atom